Entry 1:
This record from the Alexandria database describes an optimized crystal structure of BaBeSCl2. The functional is PBEsol.

- Symmetry: P4/mmm, No. 123
- Total energy: -14.89 eV for the cell shown

Cell: 5.846 5.846 6.057 Å, 90.00 90.00 90.00°
Positions (direct):
Ba1 0.000 0.000 0.000
Be1 0.500 0.500 0.500
S1 0.000 0.000 0.500
Cl1 0.000 0.500 0.000
Cl2 0.500 0.000 0.000

***

Entry 2:
This record from the Alexandria database describes an optimized crystal structure of RbHfScAg2. The functional is PBEsol.

- Symmetry: P4/mmm, No. 123
- Total energy: -17.72 eV for the cell shown

Cell: 5.023 5.023 5.019 Å, 90.00 90.00 90.00°
Positions (direct):
Rb1 0.000 0.000 0.000
Hf1 0.500 0.500 0.000
Sc1 0.000 0.000 0.500
Ag1 0.000 0.500 0.500
Ag2 0.500 0.000 0.500

***

Entry 3:
This record from the Alexandria database describes an optimized crystal structure of TaFeCF2. The functional is PBEsol.

- Symmetry: P4/mmm, No. 123
- Total energy: -36.24 eV for the cell shown

Cell: 3.957 3.957 4.269 Å, 90.00 90.00 90.00°
Positions (direct):
Ta1 0.000 0.000 0.000
Fe1 0.500 0.500 0.500
C1 0.000 0.000 0.500
F1 0.000 0.500 0.000
F2 0.500 0.000 0.000

***

Entry 4:
This record from the Alexandria database describes an optimized crystal structure of Cs2ClF2. The functional is PBEsol.

- Symmetry: I4/mmm, No. 139
- Total energy: -17.05 eV for the cell shown

Cell: 7.942 7.942 7.942 Å, 146.72 146.72 47.78°
Positions (direct):
Cs1 0.139 0.139 0.000
Cs2 0.861 0.861 0.000
Cl1 0.500 0.500 0.000
F1 0.250 0.750 0.500
F2 0.750 0.250 0.500

***

Entry 5:
This record from the Alexandria database describes an optimized crystal structure of Sc2TlAs. The functional is PBEsol.

- E above lowest polymorph: 0.0 meV/atom
- Symmetry: R-3m, No. 166
- Total energy: -24.33 eV for the cell shown

Cell: 7.824 7.824 7.824 Å, 27.30 27.30 27.30°
Positions (direct):
Sc1 0.235 0.235 0.235
Sc2 0.765 0.765 0.765
Tl1 0.000 0.000 0.000
As1 0.500 0.500 0.500

***

Entry 6:
This record from the Alexandria database describes an optimized crystal structure of MgTiMnS4. The functional is PBEsol.

- Symmetry: Imma, No. 74
- Total energy: -89.45 eV for the cell shown

Cell: 7.287 7.287 7.287 Å, 121.80 120.62 87.92°
Positions (direct):
Mg1 0.370 0.120 0.250
Mg2 0.630 0.880 0.750
Ti1 0.000 0.000 0.500
Ti2 0.000 0.500 0.000
Mn1 0.000 0.500 0.500
Mn2 0.500 0.500 0.000
S1 0.223 0.741 0.482
S2 0.233 0.256 0.523
S3 0.233 0.710 0.977
S4 0.240 0.259 0.982
S5 0.760 0.741 0.018
S6 0.767 0.290 0.023
S7 0.767 0.744 0.477
S8 0.777 0.259 0.518

***

Entry 7:
This record from the Alexandria database describes an optimized crystal structure of CaZnAu. The functional is PBEsol.

- Symmetry: F-43m, No. 216
- Total energy: -7.75 eV for the cell shown

Cell: 4.737 4.737 4.737 Å, 60.00 60.00 60.00°
Positions (direct):
Ca1 0.000 0.000 0.000
Zn1 0.750 0.750 0.750
Au1 0.250 0.250 0.250

***

Entry 8:
This record from the Alexandria database describes an optimized crystal structure of Ni2IrBr. The functional is PBEsol.

- E above lowest polymorph: 153.1 meV/atom
- Symmetry: Imm2, No. 44
- Total energy: -21.23 eV for the cell shown

Cell: 5.088 5.088 5.088 Å, 148.03 129.07 61.41°
Positions (direct):
Ni1 0.000 0.000 0.000
Ni2 0.748 0.248 0.500
Ir1 0.254 0.754 0.500
Br1 0.503 0.503 0.000

***

Entry 9:
This record from the Alexandria database describes an optimized crystal structure of LaPr3Al4O12. The functional is PBEsol.

- Symmetry: P-42m, No. 111
- Total energy: -167.06 eV for the cell shown

Cell: 5.305 5.305 7.572 Å, 90.00 90.00 90.00°
Positions (direct):
La1 0.000 0.000 0.000
Pr1 0.000 0.000 0.500
Pr2 0.500 0.500 0.000
Pr3 0.500 0.500 0.500
Al1 0.000 0.500 0.250
Al2 0.000 0.500 0.750
Al3 0.500 0.000 0.250
Al4 0.500 0.000 0.750
O1 0.000 0.500 0.000
O2 0.000 0.500 0.500
O3 0.214 0.214 0.252
O4 0.214 0.786 0.748
O5 0.287 0.287 0.750
O6 0.287 0.713 0.250
O7 0.500 0.000 0.000
O8 0.500 0.000 0.500
O9 0.713 0.287 0.250
O10 0.713 0.713 0.750
O11 0.786 0.214 0.748
O12 0.786 0.786 0.252

***

Entry 10:
This record from the Alexandria database describes an optimized crystal structure of YTc2GeTe. The functional is PBEsol.

- Symmetry: P4/mmm, No. 123
- Total energy: -32.33 eV for the cell shown

Cell: 4.791 4.791 5.191 Å, 90.00 90.00 90.00°
Positions (direct):
Y1 0.000 0.000 0.000
Tc1 0.000 0.500 0.500
Tc2 0.500 0.000 0.500
Ge1 0.500 0.500 0.000
Te1 0.500 0.500 0.500

***

Entry 11:
This record from the Alexandria database describes an optimized crystal structure of Zn3Fe2. The functional is PBEsol.

- Symmetry: R-3m, No. 166
- Total energy: -22.32 eV for the cell shown

Cell: 10.754 10.754 10.754 Å, 13.81 13.81 13.81°
Positions (direct):
Zn1 0.000 0.000 0.000
Zn2 0.203 0.203 0.203
Zn3 0.797 0.797 0.797
Fe1 0.399 0.399 0.399
Fe2 0.601 0.601 0.601

***

Entry 12:
This record from the Alexandria database describes an optimized crystal structure of LiNiRu. The functional is PBEsol.

- Symmetry: F-43m, No. 216
- Total energy: -15.70 eV for the cell shown

Cell: 3.901 3.901 3.901 Å, 60.00 60.00 60.00°
Positions (direct):
Li1 0.000 0.000 0.000
Ni1 0.500 0.500 0.500
Ru1 0.250 0.250 0.250